Ac2TlB3Pt12 | PBE | relaxed

Lattice parameters (Å, degrees): 7.7241 7.7241 7.7241 62.32 62.32 62.32
Fractional coordinates of all 18 atoms:
Ac (0.6046, 0.6046, 0.6046)
Ac (0.3954, 0.3954, 0.3954)
Tl (0.0000, 0.0000, 0.0000)
B (0.5000, 0.0000, 0.0000)
B (0.0000, 0.5000, 0.0000)
B (0.0000, 0.0000, 0.5000)
Pt (0.3209, 0.3209, 0.9138)
Pt (0.8759, 0.8759, 0.4020)
Pt (0.4020, 0.8759, 0.8759)
Pt (0.9138, 0.3209, 0.3209)
Pt (0.8759, 0.4020, 0.8759)
Pt (0.3209, 0.9138, 0.3209)
Pt (0.6791, 0.6791, 0.0862)
Pt (0.1241, 0.1241, 0.5980)
Pt (0.5980, 0.1241, 0.1241)
Pt (0.0862, 0.6791, 0.6791)
Pt (0.1241, 0.5980, 0.1241)
Pt (0.6791, 0.0862, 0.6791)

**Energy**: -0.4483 Ry per atom
**DOS at the Fermi energy**: 7.705 states/eV/cell
**ΔH_f (0 K)**: -371 meV per atom